# 1
Density functional theory data (PBE) for an optimized crystal structure of Zn2Re.

Cell lengths 14.355, 2.632, 4.563 Å; angles 90.00, 90.00, 90.00 degrees
Element x y z (fractional)
Re 0.674 0.000 0.000
Re 0.174 0.500 0.000
Re 0.270 0.500 0.500
Re 0.770 0.000 0.500
Zn 0.604 0.500 0.500
Zn 0.438 0.000 0.500
Zn 0.506 0.500 0.000
Zn 0.341 0.000 0.000
Zn 0.938 0.500 0.500
Zn 0.006 0.000 0.000
Zn 0.104 0.000 0.500
Zn 0.841 0.500 0.000

Properties
Energy relative to the lowest polymorph listed for this composition (meV/atom): 53
Spin magnetization (μB per atom): 0.00
E_tot (eV per atom): -4.80
Energy relative to the elements (eV/atom): 0.18

***

# 2
Density functional theory data (PBE) for an optimized crystal structure of ZnRe.

Cell lengths 4.811, 7.087, 4.479 Å; angles 90.00, 90.00, 70.16 degrees
Element x y z (fractional)
Zn 0.194 0.605 0.000
Zn 0.865 0.608 0.500
Zn 0.000 0.995 0.000
Zn 0.270 0.800 0.500
Zn 0.673 0.992 0.500
Re 0.484 0.387 0.500
Re 0.392 0.197 0.000
Re 0.594 0.800 0.000
Re 0.072 0.213 0.500
Re 0.789 0.403 0.000

Properties
Energy relative to the lowest polymorph listed for this composition (meV/atom): 123
Spin magnetization (μB per atom): 0.00
E_tot (eV per atom): -6.61
Energy relative to the elements (eV/atom): 0.23

***

# 3
Density functional theory data (PBE) for an optimized crystal structure of ZnRe.

Cell lengths 14.029, 5.491, 4.466 Å; angles 90.00, 90.00, 90.00 degrees
Element x y z (fractional)
Re 0.943 0.248 0.500
Re 0.164 0.753 0.000
Re 0.001 0.501 0.000
Re 0.281 0.753 0.500
Re 0.938 0.756 0.500
Re 0.007 0.994 0.000
Re 0.507 0.756 0.000
Re 0.664 0.997 0.000
Re 0.781 0.997 0.500
Re 0.438 0.994 0.500
Re 0.443 0.502 0.500
Re 0.501 0.248 0.000
Zn 0.277 0.255 0.500
Zn 0.614 0.746 0.500
Zn 0.668 0.495 0.000
Zn 0.613 0.251 0.500
Zn 0.114 0.004 0.500
Zn 0.113 0.499 0.500
Zn 0.331 0.004 0.000
Zn 0.777 0.495 0.500
Zn 0.168 0.255 0.000
Zn 0.832 0.251 0.000
Zn 0.331 0.499 0.000
Zn 0.831 0.746 0.000

Properties
Energy relative to the lowest polymorph listed for this composition (meV/atom): 0
Spin magnetization (μB per atom): 0.00
E_tot (eV per atom): -6.74
Energy relative to the elements (eV/atom): 0.11

***

# 4
Density functional theory data (PBE) for an optimized crystal structure of ZnRe.

Cell lengths 4.816, 2.744, 4.381 Å; angles 90.00, 90.00, 90.00 degrees
Element x y z (fractional)
Re 0.534 0.500 0.000
Re 0.799 0.500 0.500
Zn 0.306 0.000 0.500
Zn 0.028 0.000 0.000

Properties
Energy relative to the lowest polymorph listed for this composition (meV/atom): 152
Spin magnetization (μB per atom): 0.00
E_tot (eV per atom): -6.58
Energy relative to the elements (eV/atom): 0.26

***

# 5
Density functional theory data (PBE) for an optimized crystal structure of ZnRe.

Cell lengths 4.728, 8.123, 4.498 Å; angles 90.00, 90.00, 90.00 degrees
Element x y z (fractional)
Re 0.320 0.987 0.500
Re 0.832 0.500 0.500
Re 0.510 0.153 0.000
Re 0.010 0.014 0.000
Re 0.820 0.179 0.500
Re 0.332 0.667 0.500
Zn 0.828 0.834 0.500
Zn 0.328 0.333 0.500
Zn 0.007 0.669 0.000
Zn 0.002 0.342 0.000
Zn 0.502 0.825 0.000
Zn 0.507 0.498 0.000

Properties
Energy relative to the lowest polymorph listed for this composition (meV/atom): 125
Spin magnetization (μB per atom): 0.00
E_tot (eV per atom): -6.61
Energy relative to the elements (eV/atom): 0.23

***

# 6
Density functional theory data (PBE) for an optimized crystal structure of Zn2Re.

Cell lengths 12.029, 7.297, 4.400 Å; angles 90.00, 90.00, 63.93 degrees
Element x y z (fractional)
Re 0.199 0.349 0.500
Re 0.835 0.855 0.000
Re 0.330 0.321 0.000
Re 0.864 0.040 0.500
Re 0.996 0.012 0.000
Re 0.359 0.506 0.500
Re 0.440 0.097 0.500
Re 0.755 0.265 0.000
Zn 0.246 0.741 0.000
Zn 0.502 0.488 0.000
Zn 0.418 0.907 0.000
Zn 0.277 0.928 0.500
Zn 0.776 0.455 0.500
Zn 0.609 0.276 0.500
Zn 0.585 0.085 0.000
Zn 0.525 0.683 0.500
Zn 0.670 0.678 0.000
Zn 0.081 0.588 0.000
Zn 0.918 0.433 0.000
Zn 0.163 0.163 0.000
Zn 0.114 0.773 0.500
Zn 0.948 0.620 0.500
Zn 0.031 0.198 0.500
Zn 0.693 0.873 0.500

Properties
Energy relative to the lowest polymorph listed for this composition (meV/atom): 92
Spin magnetization (μB per atom): 0.00
E_tot (eV per atom): -4.76
Energy relative to the elements (eV/atom): 0.22

***

# 7
Density functional theory data (PBE) for an optimized crystal structure of Zn2Re.

Cell lengths 4.667, 4.667, 4.513 Å; angles 90.00, 90.00, 60.00 degrees
Element x y z (fractional)
Zn 0.315 0.667 0.500
Zn 0.667 0.667 0.000
Zn 0.019 0.315 0.500
Zn 0.667 0.019 0.500
Re 0.000 0.000 0.000
Re 0.333 0.333 0.000

Properties
Energy relative to the lowest polymorph listed for this composition (meV/atom): 40
Spin magnetization (μB per atom): 0.00
E_tot (eV per atom): -4.81
Energy relative to the elements (eV/atom): 0.17

***

# 8
Density functional theory data (PBE) for an optimized crystal structure of ZnRe.

Cell lengths 5.411, 5.411, 4.522 Å; angles 90.00, 90.00, 120.00 degrees
Element x y z (fractional)
Re 0.345 0.173 0.500
Re 0.827 0.655 0.500
Re 0.827 0.173 0.500
Re 0.000 0.000 0.000
Zn 0.499 0.501 0.000
Zn 0.333 0.667 0.500
Zn 0.499 0.998 0.000
Zn 0.002 0.501 0.000

Properties
Energy relative to the lowest polymorph listed for this composition (meV/atom): 33
Spin magnetization (μB per atom): 0.00
E_tot (eV per atom): -6.70
Energy relative to the elements (eV/atom): 0.14

***

# 9
Density functional theory data (PBE) for an optimized crystal structure of Zn3Re.

Cell lengths 5.361, 5.469, 4.473 Å; angles 90.00, 90.00, 119.35 degrees
Element x y z (fractional)
Zn 0.352 0.691 0.500
Zn 0.496 0.491 0.000
Zn 0.338 0.176 0.500
Zn 0.994 0.976 0.000
Zn 0.839 0.691 0.500
Zn 0.481 0.976 0.000
Re 0.980 0.459 0.000
Re 0.854 0.207 0.500

Properties
Energy relative to the lowest polymorph listed for this composition (meV/atom): 0
Spin magnetization (μB per atom): 0.00
E_tot (eV per atom): -3.95
Energy relative to the elements (eV/atom): 0.10

***

# 10
Density functional theory data (PBE) for an optimized crystal structure of Zn2Re.

Cell lengths 14.020, 2.677, 4.526 Å; angles 90.00, 90.00, 90.00 degrees
Element x y z (fractional)
Re 0.119 0.000 0.500
Re 0.619 0.500 0.500
Re 0.325 0.000 0.000
Re 0.825 0.500 0.000
Zn 0.789 0.000 0.500
Zn 0.492 0.500 0.000
Zn 0.655 0.000 0.000
Zn 0.952 0.500 0.500
Zn 0.992 0.000 0.000
Zn 0.289 0.500 0.500
Zn 0.155 0.500 0.000
Zn 0.452 0.000 0.500

Properties
Energy relative to the lowest polymorph listed for this composition (meV/atom): 205
Spin magnetization (μB per atom): 0.00
E_tot (eV per atom): -4.65
Energy relative to the elements (eV/atom): 0.33

***

# 11
Density functional theory data (PBE) for an optimized crystal structure of Zn3Re.

Cell lengths 5.014, 5.227, 4.280 Å; angles 90.00, 90.00, 90.00 degrees
Last column: magnetic moment on the atom in μB.
Element x y z (fractional)
Re 0.298 0.500 0.500  0.63
Re 0.035 0.000 0.000  0.63
Zn 0.816 0.751 0.500  0.01
Zn 0.991 0.500 0.000  0.01
Zn 0.816 0.249 0.500  0.01
Zn 0.342 0.000 0.500  0.01
Zn 0.518 0.749 0.000  0.01
Zn 0.518 0.251 0.000  0.01

Properties
Energy relative to the lowest polymorph listed for this composition (meV/atom): 185
Spin magnetization (μB per atom): 0.17
E_tot (eV per atom): -3.77
Energy relative to the elements (eV/atom): 0.29

***

# 12
Density functional theory data (PBE) for an optimized crystal structure of Zn2Re.

Cell lengths 4.855, 4.855, 4.855 Å; angles 60.00, 60.00, 60.00 degrees
Element x y z (fractional)
Zn 0.625 0.125 0.625
Zn 0.625 0.625 0.125
Zn 0.625 0.625 0.625
Zn 0.125 0.625 0.625
Re 0.000 0.000 0.000
Re 0.250 0.250 0.250

Properties
Energy relative to the lowest polymorph listed for this composition (meV/atom): 163
Spin magnetization (μB per atom): 0.00
E_tot (eV per atom): -4.69
Energy relative to the elements (eV/atom): 0.29